Density functional theory data (PBE-GGA) for a relaxed structure of LiCaIr2S.

## Properties
calculated volume	17.5	A^3/atom
formation energy (no corrections)	62.3	kJ/mol of atoms
symmetry	P4/mmm (123)
density of states at the Fermi level	3.84	states/eV/f.u.

Cell lengths 4.2215, 4.2215, 4.9119 Å; angles 90.00, 90.00, 90.00 degrees
Fractional positions:
Li 0.0000 0.0000 0.0000
Ca 0.0000 0.0000 0.5000
Ir 0.0000 0.5000 0.0000
Ir 0.5000 0.0000 0.0000
S 0.5000 0.5000 0.5000

---

Density functional theory data (PBE-GGA) for a relaxed structure of LiCaSb2Ir.

## Properties
calculated volume	21.7	A^3/atom
formation energy (no corrections)	7.5	kJ/mol of atoms
symmetry	P4/mmm (123)
density of states at the Fermi level	3.12	states/eV/f.u.

Cell lengths 4.9305, 4.9305, 4.4699 Å; angles 90.00, 90.00, 90.00 degrees
Fractional positions:
Li 0.0000 0.0000 0.0000
Ca 0.5000 0.5000 0.5000
Sb 0.0000 0.5000 0.0000
Sb 0.5000 0.0000 0.0000
Ir 0.0000 0.0000 0.5000

---

Density functional theory data (PBE-GGA) for a relaxed structure of LiCa2ScIr.

## Properties
calculated volume	31.4	A^3/atom
symmetry	P4/mmm (123)
density of states at the Fermi level	3.04	states/eV/f.u.
DFT formation energy	-0.1771	eV/atom

Cell lengths 5.6082, 5.6082, 4.9993 Å; angles 90.00, 90.00, 90.00 degrees
Fractional positions:
Li 0.0000 0.0000 0.0000
Ca 0.0000 0.5000 0.5000
Ca 0.5000 0.0000 0.5000
Sc 0.5000 0.5000 0.0000
Ir 0.5000 0.5000 0.5000

---

Density functional theory data (PBE-GGA) for a relaxed structure of LiCaSi2Ir.

## Properties
calculated volume	17.1	A^3/atom
formation energy (no corrections)	-59.0	kJ/mol of atoms
symmetry	I-4m2 (119)
density of states at the Fermi level	1.07	states/eV/f.u.

Cell lengths 5.7998, 5.7998, 5.7998 Å; angles 138.34, 138.34, 60.38 degrees
Fractional positions:
Li 0.0000 0.0000 0.0000
Ca 0.7500 0.2500 0.5000
Si 0.1276 0.6276 0.5000
Si 0.3724 0.8724 0.5000
Ir 0.5000 0.5000 0.0000

---

Density functional theory data (PBE-GGA) for a relaxed structure of LiCa2SiIr2.

## Properties
calculated volume	20.1	A^3/atom
formation energy (no corrections)	-47.8	kJ/mol of atoms
symmetry	Ibam (72)
density of states at the Fermi level	2.30	states/eV/f.u.

Cell lengths 7.9941, 7.9941, 7.9941 Å; angles 137.53, 63.61, 134.98 degrees
Fractional positions:
Li 0.2500 0.2500 0.0000
Li 0.7500 0.7500 0.0000
Ca 0.1700 0.2296 0.3996
Ca 0.3300 0.7296 0.0596
Ca 0.6700 0.2704 0.9404
Ca 0.8300 0.7704 0.6004
Si 0.2500 0.7500 0.5000
Si 0.7500 0.2500 0.5000
Ir 0.0996 0.7066 0.8062
Ir 0.4004 0.2066 0.6070
Ir 0.5996 0.7934 0.3930
Ir 0.9004 0.2934 0.1938

---

Density functional theory data (PBE-GGA) for a relaxed structure of LiCa2Si2Ir5.

## Properties
calculated volume	16.0	A^3/atom
formation energy (no corrections)	-47.7	kJ/mol of atoms
symmetry	P4/mbm (127)
density of states at the Fermi level	4.62	states/eV/f.u.

Cell lengths 10.0404, 10.0404, 3.1669 Å; angles 90.00, 90.00, 90.00 degrees
Fractional positions:
Li 0.0000 0.0000 0.0000
Li 0.5000 0.5000 0.0000
Ca 0.1731 0.3269 0.0000
Ca 0.3269 0.8269 0.0000
Ca 0.6731 0.1731 0.0000
Ca 0.8269 0.6731 0.0000
Si 0.1311 0.6311 0.0000
Si 0.3689 0.1311 0.0000
Si 0.6311 0.8689 0.0000
Si 0.8689 0.3689 0.0000
Ir 0.0000 0.5000 0.5000
Ir 0.0646 0.7959 0.5000
Ir 0.2041 0.0646 0.5000
Ir 0.2959 0.5646 0.5000
Ir 0.4354 0.2959 0.5000
Ir 0.5000 0.0000 0.5000
Ir 0.5646 0.7041 0.5000
Ir 0.7041 0.4354 0.5000
Ir 0.7959 0.9354 0.5000
Ir 0.9354 0.2041 0.5000